No. 1
RbNaPt3 | GGA-PBE | optimized geometry

For the formation enthalpy at 0 K, the calculation gives 1.10 eV per atom. The calculation puts the magnetic moment at 0.000 Bohr magnetons per cell. As for the mass density: 9.4 g/cm3. The value obtained for the total energy is -0.1096 hartree per atom. As for the space-group type: No. 221. As for the density of states at the Fermi level: 6.6 states/eV/f.u. The calculation puts the energy above the most stable polymorph in this dataset at 0 meV/atom.

The structure in extended XYZ format:
```
5
Lattice="-3.5099 3.3818 0.9158 -3.3711 -2.9067 -2.1867 -0.9543 -2.1702 4.3559" Properties=species:S:1:pos:R:3 pbc="T T T"
Rb -3.9177 -0.8475 1.5425
Na 0.0000 0.0000 0.0000
Pt -1.6855 -1.4533 -1.0934
Pt -0.4772 -1.0851 2.1780
Pt -1.7550 1.6909 0.4579
```

---

No. 2
Pr2Ga3Pt4 | GGA-PBE | optimized geometry

For the formation enthalpy at 0 K, the calculation gives -0.96 eV per atom. The calculation puts the magnetic moment at 0.000 Bohr magnetons per cell. As for the mass density: 12.2 g/cm3. The value obtained for the total energy is -0.2102 hartree per atom. As for the space-group type: No. 64. As for the density of states at the Fermi level: 5.0 states/eV/f.u.

The structure in extended XYZ format:
```
18
Lattice="-0.6640 5.5773 1.1140 -1.1146 -1.6142 7.4171 8.0594 -2.1293 0.7477" Properties=species:S:1:pos:R:3 pbc="T T T"
Pt 4.3641 -0.3519 4.3631
Pt 5.7845 0.7628 6.9871
Pt 0.4964 1.0711 2.2916
Pt 0.1644 3.8597 2.8486
Pt 6.1165 -2.0259 6.4301
Pt 4.5377 3.1689 1.5556
Pt 1.9168 2.1858 4.9157
Pt 1.7432 -1.3351 7.7232
Ga 3.1923 0.5416 6.5495
Ga 3.5243 -2.2471 5.9925
Ga -0.8893 1.9816 4.2655
Ga 0.0000 0.0000 0.0000
Ga 3.0886 1.2923 2.7293
Ga 2.7566 4.0809 3.2863
Pr 5.2599 2.6437 4.6159
Pr 5.9475 0.3701 1.6921
Pr 1.0210 -0.8098 4.6629
Pr 0.3333 1.4638 7.5867
```

---

No. 3
BaSr2N | GGA-PBE | optimized geometry

The calculation puts the magnetic moment at 0.000 Bohr magnetons per cell. As for the mass density: 3.3 g/cm3. The value obtained for the total energy is -0.1333 hartree per atom. As for the space-group type: No. 67. As for the density of states at the Fermi level: 2.9 states/eV/f.u. The calculation puts the uncorrected formation energy at -0.226 eV/atom.

The structure in extended XYZ format:
```
8
Lattice="-3.6169 -4.1456 -4.2243 4.5785 -5.2393 1.2215 -1.8971 0.0396 7.2803" Properties=species:S:1:pos:R:3 pbc="T T T"
Ba -0.7501 -2.2784 2.8783
Ba -0.1854 -7.0669 1.3993
Sr -1.3345 -3.4454 -1.1709
Sr 3.1237 -4.4049 1.6482
Sr 0.3990 -5.8999 5.4485
Sr -4.0593 -4.9405 2.6294
N -2.7127 -3.1092 -3.1682
N -0.9042 -1.0364 -1.0561
```

---

No. 4
Mg3TlIn3 | GGA-PBE | optimized geometry

For the formation enthalpy at 0 K, the calculation gives 0.42 eV per atom. The calculation puts the magnetic moment at 0.000 Bohr magnetons per cell. As for the mass density: 4.0 g/cm3. The value obtained for the total energy is -0.0651 hartree per atom. As for the space-group type: No. 223. As for the density of states at the Fermi level: 6.6 states/eV/f.u. The calculation puts the energy above the most stable polymorph in this dataset at 462 meV/atom.

The structure in extended XYZ format:
```
14
Lattice="-0.1289 -5.2398 6.1085 7.2599 -2.7123 -2.1734 3.4733 5.4749 4.7695" Properties=species:S:1:pos:R:3 pbc="T T T"
Mg 7.1815 0.7032 0.7547
Mg 3.5333 -5.2860 3.4947
Mg 0.8039 -1.2512 4.2466
Mg 2.5405 1.4862 6.6314
Mg 3.5977 -2.6661 0.4404
Mg 3.5516 2.0594 1.8414
Tl 5.3021 -1.2386 4.3523
Tl 0.0000 0.0000 0.0000
In 1.7505 -3.2980 2.5109
In 4.4983 0.0126 0.1057
In 5.3805 -4.6541 1.4242
In 6.2349 2.7500 2.4905
In 1.6400 -1.1924 6.9662
In 1.7044 1.4275 3.9119
```